1.
The following is a DFT calculation (GGA-PBE) of a geometry-optimized Tm2ScGe3 structure.

POSCAR file:
```
Tm2ScGe3
1.0
4.6096 0.0000 0.0000
0.0000 5.7168 0.0000
-2.3048 -2.8584 5.1565
Tm Sc Ge
2 1 3
Direct
0.6739 0.1739 0.3477 Tm
0.3261 0.8261 0.6523 Tm
0.0000 0.5000 0.0000 Sc
0.3565 0.3565 0.7129 Ge
0.0000 0.0000 0.0000 Ge
0.6435 0.6435 0.2871 Ge
```

Values from the calculation:
The calculation puts the density of states at the Fermi level at 3.30 states/eV/cell. The calculation puts the energy at -33.0 eV/cell. The volume is 135.9 Å³/cell. Its energy relative to the elements is -648 meV per atom. Its crystal system is orthorhombic. As for the space-group type: Immm.



2.
The following is a DFT calculation (GGA-PBE) of a geometry-optimized Si2AgPd structure.

POSCAR file:
```
Si2AgPd
1.0
-3.7369 5.0210 0.8966
0.0383 -1.0838 6.2292
1.3725 4.2977 3.9483
Si Pd Ag
4 2 2
Direct
0.6049 0.1250 0.2500 Si
0.1451 0.6250 0.2500 Si
0.3750 0.3951 0.7500 Si
0.8750 0.8549 0.7500 Si
0.5000 0.5000 0.0000 Pd
0.2500 0.7500 0.5000 Pd
0.0000 0.0000 0.0000 Ag
0.7500 0.2500 0.5000 Ag
```

Values from the calculation:
The calculation puts the density of states at the Fermi level at 3.79 states/eV/cell. The calculation puts the energy at -35.3 eV/cell. The volume is 159.7 Å³/cell. Its crystal system is tetragonal. As for the space-group type: I-42d. For the energy above the most stable polymorph in this dataset, the calculation gives 0.68 eV/f.u. The formation energy without anion corrections comes out at 315 meV per atom.



3.
The following is a DFT calculation (GGA-PBE) of a geometry-optimized YHo3Cd structure.

POSCAR file:
```
YHo3Cd
1.0
-3.1491 2.5740 -2.7464
4.0589 -3.1078 -3.1818
-5.9154 -9.3305 -1.9620
Y Ho Cd
2 6 2
Direct
0.4264 0.8528 0.6515 Y
0.5736 0.1472 0.3485 Y
0.0210 0.0421 0.1420 Ho
0.9790 0.9579 0.8580 Ho
0.7056 0.4111 0.7633 Ho
0.2944 0.5889 0.2367 Ho
0.8594 0.7188 0.4481 Ho
0.1406 0.2812 0.5519 Ho
0.2881 0.5763 0.9310 Cd
0.7119 0.4237 0.0690 Cd
```

Values from the calculation:
The calculation puts the density of states at the Fermi level at 12.28 states/eV/cell. The calculation puts the energy at -42.4 eV/cell. The volume is 297.7 Å³/cell. Its energy relative to the elements is -21 meV per atom. Its crystal system is monoclinic. As for the space-group type: C2/m. For the energy above the most stable polymorph in this dataset, the calculation gives 0.46 eV/f.u.